# 1
A geometry-optimized VNiS2 structure. Source: Alexandria, functional PBE.

ρ	4.77	g/cm3
VASP energy	-25.32	eV per formula unit
crystal system	trigonal
energy relative to the elements, uncorrected	-0.542	eV per atom

Cell: 7.472 7.472 7.472 Å, 23.98 23.98 23.98°
Element x y z (fractional)
V  0.000  0.000  0.000
Ni  0.500  0.500  0.500
S  0.402  0.402  0.402
S  0.598  0.598  0.598

=====

# 2
A geometry-optimized VNiS2 structure. Source: Alexandria, functional PBE.

ρ	4.14	g/cm3
VASP energy	-25.26	eV per formula unit
crystal system	trigonal
energy relative to the elements, uncorrected	-0.527	eV per atom

Cell: 3.673 3.673 5.973 Å, 90.00 90.00 120.00°
Element x y z (fractional)
V  0.000  0.000  0.000
Ni  0.333  0.667  0.435
S  0.000  0.000  0.372
S  0.333  0.667  0.824